Material: Pm2AgP
Method: DFT, GGA-PBE
State: optimized geometry

Computed properties:
DOS(E_F) (states/eV/cell): 2.99
Calculated volume (Å³ per atom): 23.9
Energy of formation from the pure elements (eV per atom): -0.72

Cell and atoms, written as CIF:
```
data_Pm2AgP
_cell_length_a 3.671
_cell_length_b 3.671
_cell_length_c 7.087
_cell_angle_alpha 90.00
_cell_angle_beta 90.00
_cell_angle_gamma 90.00
_space_group_name_H-M_alt 'P 1'
_space_group_IT_number 1
loop_
_space_group_symop_operation_xyz
'x,y,z'
loop_
_atom_site_label
_atom_site_type_symbol
_atom_site_fract_x
_atom_site_fract_y
_atom_site_fract_z
Pm1 Pm 0.000 0.000 0.227
Pm2 Pm 0.000 0.000 0.773
Ag1 Ag 0.500 0.500 0.500
P1 P 0.500 0.500 0.000
```